[1]
VASP calculation (PBE-GGA) on an optimized crystal structure of Pr3In4Ni4.

POSCAR file:
```
Pr3In4Ni4
1.0
-2.0544 3.9034 7.3274
2.0544 -3.9034 7.3274
2.0544 3.9034 -7.3274
Pr In Ni
3 4 4
direct
0.0000 0.0000 0.0000
0.3829 0.8829 0.5000
0.6171 0.1171 0.5000
0.0229 0.3289 0.6940
0.3650 0.6711 0.6940
0.6350 0.3289 0.3060
0.9771 0.6711 0.3060
0.2264 0.2264 0.0000
0.3147 0.5000 0.8147
0.6853 0.5000 0.1853
0.7736 0.7736 0.0000
```

Summary:
- ΔH_f (0 K): -0.358 eV/atom

***

[2]
VASP calculation (PBE-GGA) on an optimized crystal structure of Th6InRe2.

POSCAR file:
```
Th6InRe2
1.0
-4.7783 4.7785 5.5923
4.7783 -4.7785 5.5923
4.7783 4.7785 -5.5923
Th In Re
12 2 4
direct
0.0358 0.2405 0.7953
0.1832 0.2963 0.4795
0.1832 0.7037 0.8868
0.3353 0.0275 0.6922
0.3353 0.6430 0.3078
0.4452 0.2405 0.2047
0.5548 0.7595 0.7953
0.6647 0.3570 0.6922
0.6647 0.9725 0.3078
0.8168 0.2963 0.1132
0.8168 0.7037 0.5205
0.9642 0.7595 0.2047
0.0000 0.0000 0.0000
0.5000 0.5000 0.0000
0.1355 0.6355 0.5000
0.3281 0.0000 0.3281
0.6719 0.0000 0.6719
0.8645 0.3645 0.5000
```

Summary:
- ΔH_f (0 K): -0.068 eV/atom

***

[3]
VASP calculation (PBE-GGA) on an optimized crystal structure of KCu2As2Se6.

POSCAR file:
```
KCu2As2Se6
1.0
6.6393 0.0000 0.0000
0.0532 6.7894 0.0000
3.2613 0.2197 7.6314
K Cu As Se
1 2 2 6
direct
0.0000 0.0000 0.0000
0.3448 0.4626 0.3001
0.6552 0.5374 0.6999
0.2945 0.9586 0.4107
0.7055 0.0414 0.5893
0.0671 0.2277 0.3457
0.4181 0.7732 0.6549
0.4207 0.7641 0.1551
0.5793 0.2359 0.8449
0.5819 0.2268 0.3451
0.9329 0.7723 0.6543
```

Summary:
- Energy relative to the elements, uncorrected: -0.201 eV/atom

***

Repeat the second record exactly.
VASP calculation (PBE-GGA) on an optimized crystal structure of Th6InRe2.

POSCAR file:
```
Th6InRe2
1.0
-4.7783 4.7785 5.5923
4.7783 -4.7785 5.5923
4.7783 4.7785 -5.5923
Th In Re
12 2 4
direct
0.0358 0.2405 0.7953
0.1832 0.2963 0.4795
0.1832 0.7037 0.8868
0.3353 0.0275 0.6922
0.3353 0.6430 0.3078
0.4452 0.2405 0.2047
0.5548 0.7595 0.7953
0.6647 0.3570 0.6922
0.6647 0.9725 0.3078
0.8168 0.2963 0.1132
0.8168 0.7037 0.5205
0.9642 0.7595 0.2047
0.0000 0.0000 0.0000
0.5000 0.5000 0.0000
0.1355 0.6355 0.5000
0.3281 0.0000 0.3281
0.6719 0.0000 0.6719
0.8645 0.3645 0.5000
```

Summary:
- ΔH_f (0 K): -0.068 eV/atom